Record 1
Compound: LiPtO
Source: Alexandria via LeMat-Bulk
Functional: PBE
Structure: optimized geometry

The structure in POSCAR format:
```
LiPtO
1.0
5.276 -1.420 0.000
5.276 1.420 0.000
-3.051 0.000 5.044
Li Pt O
2 2 2
Cartesian
0.196 0.000 1.313
7.306 0.000 3.731
2.950 0.000 1.500
4.552 0.000 3.544
-1.573 0.000 4.856
9.075 0.000 0.188
```

Summary:
Raw total energy = -0.1777 hartree per atom

Record 2
Compound: LiPtO2
Source: Alexandria via LeMat-Bulk
Functional: PBE
Structure: optimized geometry

The structure in POSCAR format:
```
LiPtO2
1.0
4.934 -2.725 0.000
4.934 2.725 0.000
-1.093 0.000 3.974
Li Pt O
2 2 4
Cartesian
2.181 0.000 0.467
6.595 0.000 3.507
-0.546 0.000 1.987
4.934 0.000 0.000
3.709 1.363 0.730
5.067 1.363 3.244
3.709 -1.363 0.730
5.067 -1.363 3.244
```

Summary:
Raw total energy = -0.2009 hartree per atom

Record 3
Compound: LiPtO2
Source: Alexandria via LeMat-Bulk
Functional: PBE
Structure: optimized geometry

The structure in POSCAR format:
```
LiPtO2
1.0
-2.345 2.345 4.398
2.345 -2.345 4.398
2.345 2.345 -4.398
Li Pt O
2 2 4
Cartesian
0.000 0.000 0.000
0.000 2.345 2.199
2.345 0.000 2.199
0.000 0.000 4.398
3.517 1.076 -1.099
1.076 1.172 1.099
-1.172 1.269 3.298
1.269 1.172 5.497
```

Summary:
Raw total energy = -0.1870 hartree per atom

Record 4
Compound: Li2PtO6
Source: Alexandria via LeMat-Bulk
Functional: PBE
Structure: optimized geometry

The structure in POSCAR format:
```
Li2PtO6
1.0
3.041 -4.614 0.000
3.041 4.614 0.000
-0.777 0.000 3.682
Li Pt O
2 1 6
Cartesian
3.041 3.231 0.000
3.041 -3.231 0.000
3.041 0.000 0.000
0.507 0.000 2.991
2.408 1.584 1.185
2.898 1.584 2.497
2.408 -1.584 1.185
2.898 -1.584 2.497
4.799 0.000 0.691
```

Summary:
ΔE to the lowest computed polymorph = 0.000 eV per atom

Record 5
Compound: LiPtO2
Source: Alexandria via LeMat-Bulk
Functional: PBE
Structure: optimized geometry

The structure in POSCAR format:
```
LiPtO2
1.0
3.024 -4.606 0.000
3.024 4.606 0.000
-2.673 0.000 4.735
Li Pt O
3 3 6
Cartesian
0.000 0.000 0.000
3.024 1.357 0.000
3.024 -1.357 0.000
1.688 3.075 2.367
1.688 0.000 2.367
1.688 -3.075 2.367
0.746 1.521 1.362
-0.829 0.000 3.651
0.746 -1.521 1.362
2.630 1.521 3.372
4.205 0.000 1.084
2.630 -1.521 3.372
```

Summary:
Raw total energy = -0.1955 hartree per atom

Record 6
Compound: LiPt2O4
Source: Alexandria via LeMat-Bulk
Functional: PBE
Structure: optimized geometry

The structure in POSCAR format:
```
LiPt2O4
1.0
5.348 -1.595 0.000
5.348 1.595 0.000
-1.959 0.000 5.321
Li Pt O
1 2 4
Cartesian
0.000 0.000 0.000
2.285 0.000 1.356
6.451 0.000 3.965
-0.093 0.000 4.579
2.357 0.000 3.507
6.380 0.000 1.815
8.829 0.000 0.742
```

Summary:
Raw total energy = -0.2009 hartree per atom